# Ca2ZrGeB GGA-PBE optimized geometry
# **Crystal system**: tetragonal
# **Fermi-level density of states**: 6.071 states/eV/f.u.
# **Formation enthalpy at 0 K**: 7.4 eV per formula unit
data_Ca2ZrGeB
_chemical_formula_sum 'Ca2 Zr1 Ge1 B1'
_space_group_name_H-M_alt 'P 1'
_space_group_IT_number 1
_cell_length_a 5.827
_cell_length_b 5.827
_cell_length_c 5.099
_cell_angle_alpha 90.00
_cell_angle_beta 90.00
_cell_angle_gamma 90.00
loop_
_space_group_symop_operation_xyz
'x,y,z'
loop_
_atom_site_label
_atom_site_type_symbol
_atom_site_fract_x
_atom_site_fract_y
_atom_site_fract_z
Ca1 Ca 0.000 0.500 0.000
Ca2 Ca 0.500 0.000 0.000
Zr1 Zr 0.000 0.000 0.000
Ge1 Ge 0.000 0.000 0.500
B1 B 0.500 0.500 0.500